Record 1
! Ba2LiCuAg | Alexandria via LeMat-Bulk | PBE | optimized geometry; values from VASP
! **Energy of formation from the pure elements**: 0.05 eV per atom
! **Uncorrected energy**: -2.4923 eV/atom
! **Space group**: P4/mmm, No. 123
! **Calculated volume**: 182 Å³/f.u.
! **Theoretical density**: 4.14 Mg/m³
! **Crystal system**: tetragonal
&SYSTEM
  ibrav = 0, nat = 5, ntyp = 4
/
ATOMIC_SPECIES
Cu 63.55 Cu.upf
Ba 137.33 Ba.upf
Ag 107.87 Ag.upf
Li 6.94 Li.upf
CELL_PARAMETERS angstrom
6.162 0.000 0.000
0.000 6.162 0.000
0.000 0.000 4.781
ATOMIC_POSITIONS crystal
Cu 0.000 0.000 0.000
Ba 0.000 0.500 0.000
Ba 0.500 0.000 0.000
Ag 0.500 0.500 0.500
Li 0.000 0.000 0.500

---

Record 2
! MnHgI3 | Alexandria via LeMat-Bulk | PBE | optimized geometry; values from VASP
! **Uncorrected energy**: -3.0035 eV/atom
! **Space group**: Cmcm, No. 63
! **Calculated volume**: 216 Å³/f.u.
! **Theoretical density**: 4.89 Mg/m³
! **Crystal system**: orthorhombic
! **Formation energy without anion corrections**: -179 meV per atom
! **Energy above the most stable polymorph in this dataset**: 0.835 eV per formula unit
&SYSTEM
  ibrav = 0, nat = 10, ntyp = 3
/
ATOMIC_SPECIES
I 126.90 I.upf
Mn 54.94 Mn.upf
Hg 200.59 Hg.upf
CELL_PARAMETERS angstrom
4.528 -4.632 0.000
4.528 4.632 0.000
0.000 0.000 10.303
ATOMIC_POSITIONS crystal
I 0.036 0.488 0.250
I 0.512 0.964 0.250
I 0.488 0.036 0.750
I 0.964 0.512 0.750
I 0.000 0.000 0.000
I 0.000 0.000 0.500
Mn 0.102 0.898 0.250
Mn 0.898 0.102 0.750
Hg 0.540 0.460 0.250
Hg 0.460 0.540 0.750

---

Record 3
! ZrAsOsSe2 | Alexandria via LeMat-Bulk | PBE | optimized geometry; values from VASP
! **Uncorrected energy**: -5.7734 eV/atom
! **Space group**: P4/mmm, No. 123
! **Calculated volume**: 114 Å³/f.u.
! **Theoretical density**: 7.50 Mg/m³
! **Crystal system**: tetragonal
! **Formation energy without anion corrections**: 506 meV per atom
! **Energy above the most stable polymorph in this dataset**: 0.000 eV per formula unit
&SYSTEM
  ibrav = 0, nat = 5, ntyp = 4
/
ATOMIC_SPECIES
As 74.92 As.upf
Os 190.23 Os.upf
Se 78.96 Se.upf
Zr 91.22 Zr.upf
CELL_PARAMETERS angstrom
-3.735 0.312 -3.272
-2.778 -2.947 2.890
-1.624 3.693 2.206
ATOMIC_POSITIONS crystal
As 0.000 0.000 0.500
Os 0.000 0.000 0.000
Se 0.000 0.500 0.000
Se 0.500 0.000 0.000
Zr 0.500 0.500 0.500

---

Record 4
! Ag4IBr2F2 | Alexandria via LeMat-Bulk | PBE | optimized geometry; values from VASP
! **Uncorrected energy**: -2.8191 eV/atom
! **Space group**: C2/m, No. 12
! **Calculated volume**: 219 Å³/f.u.
! **Theoretical density**: 5.73 Mg/m³
! **Crystal system**: monoclinic
! **Formation energy without anion corrections**: -592 meV per atom
&SYSTEM
  ibrav = 0, nat = 9, ntyp = 4
/
ATOMIC_SPECIES
Ag 107.87 Ag.upf
I 126.90 I.upf
Br 79.90 Br.upf
F 19.00 F.upf
CELL_PARAMETERS angstrom
-3.705 1.154 0.181
-0.693 -0.686 -9.793
0.612 -5.604 6.557
ATOMIC_POSITIONS crystal
Ag 0.238 0.142 0.476
Ag 0.762 0.858 0.524
Ag 0.448 0.721 0.896
Ag 0.552 0.279 0.104
I 0.000 0.000 0.000
Br 0.154 0.558 0.308
Br 0.846 0.442 0.692
F 0.652 0.931 0.304
F 0.348 0.069 0.696